PBE-GGA LiSc2Br, optimized geometry; crystal system = monoclinic; raw formation energy = -1.642 eV per formula unit; uncorrected energy = -4.473 eV/atom; energy above the most stable polymorph in this dataset = 13 meV per atom; SG = Pm
1.0
3.374 0.000 0.000
0.000 3.353 0.000
-1.559 0.000 8.572
Li Sc Br
1 2 1
Cartesian
0.000 0.000 0.000 Li
0.113 1.676 6.159 Sc
1.801 0.000 4.000 Sc
0.111 1.676 2.182 Br



PBE-GGA KPuGeO5, optimized geometry; crystal system = monoclinic; raw formation energy = -17.812 eV per formula unit; uncorrected energy = -7.831 eV/atom; SG = C2/c
1.0
3.683 -4.853 0.000
3.683 4.853 0.000
-3.359 0.000 7.199
K Pu Ge O
2 2 2 10
Cartesian
1.163 3.228 5.399 K
2.843 -3.228 1.800 K
3.683 0.000 0.000 Pu
2.003 0.000 3.599 Pu
2.843 3.033 1.800 Ge
1.163 -3.033 5.399 Ge
-1.592 0.720 6.457 O
1.744 2.013 2.776 O
0.088 -0.720 2.857 O
3.942 2.013 0.824 O
1.163 0.585 5.399 O
2.843 -0.585 1.800 O
0.064 -2.013 6.375 O
3.918 0.720 4.341 O
2.263 -2.013 4.423 O
5.598 -0.720 0.742 O



PBE-GGA Ca2YBr, optimized geometry; crystal system = monoclinic; raw formation energy = -2.374 eV per formula unit; uncorrected energy = -3.629 eV/atom; energy above the most stable polymorph in this dataset = 47 meV per atom; SG = P2/m
1.0
3.835 0.000 0.000
0.000 3.702 0.000
-0.083 0.000 10.093
Ca Y Br
2 1 1
Cartesian
-0.002 0.000 2.645 Ca
3.755 0.000 7.448 Ca
1.918 1.851 0.000 Y
-0.041 1.851 5.046 Br



PBE-GGA RbAsI2N, optimized geometry; crystal system = tetragonal; raw formation energy = 0.062 eV per formula unit; uncorrected energy = -3.396 eV/atom; energy above the most stable polymorph in this dataset = 0 meV per atom; SG = P4/mmm
1.0
6.539 0.000 0.000
0.000 6.539 0.000
0.000 0.000 3.704
Rb As I N
1 1 2 1
Cartesian
0.000 0.000 0.000 Rb
3.270 3.270 1.852 As
0.000 3.270 1.852 I
3.270 0.000 1.852 I
3.270 3.270 0.000 N



PBE-GGA CeAlNi4, optimized geometry; calculated formation energy = -0.345 eV per atom; crystal system = orthorhombic; uncorrected energy = -5.812 eV/atom; SG = Pmma
1.0
7.099 0.000 0.000
0.000 3.700 0.000
0.000 0.000 6.606
Ce Al Ni
2 2 8
Cartesian
1.775 0.000 1.050 Ce
5.324 0.000 5.556 Ce
1.775 0.000 4.757 Al
5.324 0.000 1.849 Al
0.000 0.000 3.303 Ni
0.281 1.850 5.250 Ni
1.775 1.850 3.106 Ni
3.268 1.850 5.250 Ni
3.549 0.000 3.303 Ni
3.831 1.850 1.357 Ni
5.324 1.850 3.500 Ni
6.817 1.850 1.357 Ni



PBE-GGA Hf2MgB2, optimized geometry; calculated formation energy = -0.461 eV per atom; crystal system = tetragonal; uncorrected energy = -7.432 eV/atom; SG = P4/mbm
1.0
6.332 0.000 0.000
0.000 6.332 0.000
0.000 0.000 3.447
Hf Mg B
4 2 4
Cartesian
1.136 2.030 0.000 Hf
2.030 5.196 0.000 Hf
4.302 1.136 0.000 Hf
5.196 4.302 0.000 Hf
0.000 0.000 1.724 Mg
3.166 3.166 1.724 Mg
0.629 3.795 1.724 B
2.537 0.629 1.724 B
3.795 5.703 1.724 B
5.703 2.537 1.724 B



Number 1: D(E_F) 4.872 states/eV/f.u.. Number 2: D(E_F) 6.159 states/eV/f.u.. Number 3: D(E_F) 4.142 states/eV/f.u.. Number 4: D(E_F) 2.272 states/eV/f.u.. Number 5: D(E_F) 2.142 states/eV/f.u.. Number 6: D(E_F) 0.589 states/eV/f.u..